P.
This record from the Alexandria database describes an optimized crystal structure of CrHgCl2. The functional is GGA-PBEsol.

abc: 3.849 5.039 5.039
angles: 97.80 105.70 105.70
Sites, in units of the cell vectors:
Cl  0.000  0.500  0.000
Cl  0.000  0.000  0.500
Cr  0.500  0.000  0.000
Hg  0.500  0.500  0.500

Values from the calculation:
Calculated volume = 88.3 Å³/cell
Density of states at the Fermi level = 1.60 states/eV per cell


Q.
This record from the Alexandria database describes an optimized crystal structure of CrHgCl2. The functional is GGA-PBEsol.

abc: 3.293 6.021 6.037
angles: 60.96 74.17 74.13
Sites, in units of the cell vectors:
Cr  0.500  0.000  0.000
Cl  0.834  0.167  0.165
Cl  0.166  0.833  0.835
Hg  0.000  0.500  0.500

Values from the calculation:
Calculated volume = 99.3 Å³/cell


Stability summary - winner: Q; margin: 0.549 eV/atom.


P.
This record from the Alexandria database describes an optimized crystal structure of CrHgCl2. The functional is GGA-PBEsol.

abc: 3.340 5.644 5.644
angles: 67.02 72.79 72.79
Sites, in units of the cell vectors:
Cl  0.970  0.030  0.030
Cl  0.810  0.690  0.690
Hg  0.232  0.268  0.268
Cr  0.488  0.512  0.512

Values from the calculation:
Calculated volume = 91.6 Å³/cell


Q.
This record from the Alexandria database describes an optimized crystal structure of CrHgCl2. The functional is GGA-PBEsol.

abc: 3.292 3.292 10.274
angles: 80.78 80.78 60.00
Sites, in units of the cell vectors:
Cl  0.929  0.929  0.212
Cl  0.071  0.071  0.788
Cr  0.000  0.000  0.000
Hg  0.500  0.500  0.500

Values from the calculation:
Calculated volume = 94.8 Å³/cell
Density of states at the Fermi level = 3.24 states/eV per cell


Stability summary - winner: P; margin: 0.259 eV/atom.